Entry 1:
Below is Sm4Y2HoSc after structural relaxation, with properties calculated at the PBE-GGA level.

Lattice parameters (Å, degrees): 5.0554 5.0554 9.9339 90.00 90.00 90.00
Closest atoms and distances in Å follow each position.
Space group P4/mmm (No. 123)
Unique sites:
Sm1 0.0000 0.5000 0.2452 x4  2 Sc 3.51, 4 Y 3.51-3.58, 4 Sm 3.57, 2 Ho 3.58
Y1 0.0000 0.0000 0.0000 x1  8 Sm 3.51, 4 Sc 3.57
Y2 0.5000 0.5000 0.5000 x1  4 Ho 3.57, 8 Sm 3.58
Ho1 0.0000 0.0000 0.5000 x1  4 Y 3.57, 8 Sm 3.58
Sc1 0.5000 0.5000 0.0000 x1  8 Sm 3.51, 4 Y 3.57

Values from the calculation:
- ΔH_f (0 K): 0.031 eV per atom

=====

Entry 2:
Below is SrTlBPb after structural relaxation, with properties calculated at the PBE-GGA level.

Lattice parameters (Å, degrees): 4.1617 4.1617 21.6435 90.00 90.00 120.00
Closest atoms and distances in Å follow each position.
Space group R3m (No. 160, hexagonal axes)
Unique sites:
Sr1 0.0000 0.0000 0.0000 x3  3 B 2.93
Tl1 0.0000 0.0000 0.4527 x3  1 B 2.96, 3 Pb 3.21
B1 0.0000 0.0000 0.5895 x3  3 Pb 2.54
Pb1 0.0000 0.0000 0.2175 x3  3 B 2.54

Values from the calculation:
- ΔH_f (0 K): 0.249 eV per atom

=====

Entry 3:
Below is TbNd2Dy6Tm3 after structural relaxation, with properties calculated at the PBE-GGA level.

Lattice parameters (Å, degrees): 6.1574 10.6555 11.7664 90.00 100.01 90.00
Closest atoms and distances in Å follow each position.
Space group C2/m (No. 12)
Unique sites:
Tb1 0.0000 0.0000 0.0000 x2  6 Nd 3.55, 6 Dy 3.59
Nd1 0.0000 0.3334 0.0000 x4  3 Nd 3.55, 3 Tb 3.55, 6 Dy 3.59
Dy1 0.2471 0.0000 0.7456 x4  3 Tm 3.50-3.51, 6 Dy 3.55-3.56, 1 Tb 3.59, 2 Nd 3.59
Dy2 0.2481 0.3336 0.7457 x8  3 Tm 3.51, 6 Dy 3.55-3.56, 2 Nd 3.59, 1 Tb 3.59
Tm1 0.0000 0.1665 0.5000 x4  6 Dy 3.50-3.51, 6 Tm 3.55-3.56
Tm2 0.0000 0.5000 0.5000 x2  6 Dy 3.51, 6 Tm 3.55

Values from the calculation:
- ΔH_f (0 K): 0.020 eV per atom

=====

Entry 4:
Below is Sc2B after structural relaxation, with properties calculated at the PBE-GGA level.

Lattice parameters (Å, degrees): 4.1652 4.1652 3.0795 90.00 90.00 90.00
Closest atoms and distances in Å follow each position.
Space group P-4m2 (No. 115)
Unique sites:
Sc1 0.0000 0.5000 0.1276 x2  2 B 2.38
B1 0.0000 0.0000 0.5000 x1  4 Sc 2.38

Values from the calculation:
- ΔH_f (0 K): -0.032 eV per atom

=====

Entry 5:
Below is ZnCoTc after structural relaxation, with properties calculated at the PBE-GGA level.

Lattice parameters (Å, degrees): 2.6765 2.6765 6.4146 90.00 90.00 120.00
Closest atoms and distances in Å follow each position.
Space group P3m1 (No. 156)
Unique sites:
Zn1 0.0000 0.0000 0.0000 x1  3 Co 2.60, 6 Zn 2.68, 3 Tc 2.79
Co1 0.6667 0.3333 0.3265 x1  3 Tc 2.52, 3 Zn 2.60, 6 Co 2.68
Tc1 0.3333 0.6667 0.6369 x1  3 Co 2.52, 6 Tc 2.68, 3 Zn 2.79

Values from the calculation:
- ΔH_f (0 K): 0.080 eV per atom

=====

Entry 6:
Below is LaCl2 after structural relaxation, with properties calculated at the PBE-GGA level.

Lattice parameters (Å, degrees): 3.5950 3.5950 28.7761 90.00 90.00 90.00
Closest atoms and distances in Å follow each position.
Space group I4_1/amd (No. 141, origin choice 2)
Unique sites:
La1 0.0000 0.2500 0.3750 x4  8 Cl 3.02
Cl1 0.0000 0.2500 0.8186 x8  4 La 3.02, 1 Cl 3.25

Values from the calculation:
- DFT total energy: -0.3650 Ry/atom

=====

Entry 7:
Below is Ba2NaAg3Hg4 after structural relaxation, with properties calculated at the PBE-GGA level.

Lattice parameters (Å, degrees): 4.6334 4.6334 13.3021 90.00 90.00 90.00
Closest atoms and distances in Å follow each position.
Space group P-4m2 (No. 115)
Unique sites:
Ba1 0.0000 0.5000 0.2369 x2  4 Ag 3.53, 8 Hg 3.63-3.91
Na1 0.0000 0.0000 0.5000 x1  4 Hg 3.02, 4 Ag 3.28
Ag1 0.0000 0.5000 0.8627 x2  5 Hg 2.88-2.95
Ag2 0.5000 0.5000 0.5000 x1  4 Hg 3.02, 4 Na 3.28
Hg1 0.0000 0.0000 0.0000 x1  4 Ag 2.95, 4 Hg 3.28
Hg2 0.0000 0.5000 0.6459 x2  3 Ag 2.88-3.02, 2 Na 3.02
Hg3 0.5000 0.5000 0.0000 x1  4 Ag 2.95, 4 Hg 3.28

Values from the calculation:
- ΔH_f (0 K): -0.267 eV per atom